Compound: Rb2PrPtO4
Source: Alexandria via LeMat-Bulk
Functional: PBE
Structure: optimized geometry

a = 6.4077 Å, b = 14.5780 Å, c = 24.4144 Å
α = 90.00°, β = 90.00°, γ = 90.00°
Space group Fddd (No. 70, origin choice 2)
Symmetry-distinct sites (fractional):
Rb 0.1250 0.1250 0.3176
Pr 0.1250 0.1250 0.1250
Pt 0.1250 0.1250 0.6250
O 0.0985 0.2777 0.8751

Results
ΔE_f (raw) = -1.32 eV/atom

Compound: Ac3La2Ho2
Source: Alexandria via LeMat-Bulk
Functional: PBE
Structure: optimized geometry

a = 5.6980 Å, b = 25.3150 Å, c = 3.7516 Å
α = 90.00°, β = 90.00°, γ = 90.00°
Space group Cmmm (No. 65)
Symmetry-distinct sites (fractional):
Ac 0.0000 0.0000 0.0000
Ac 0.0000 0.1553 0.0000
La 0.0000 0.4261 0.5000
Ho 0.0000 0.2847 0.5000

Results
energy = -4.43 eV/atom

Compound: K2FePbCl6
Source: Alexandria via LeMat-Bulk
Functional: PBE
Structure: optimized geometry

a = 7.3043 Å, b = 7.3267 Å, c = 7.3557 Å
α = 61.50°, β = 61.58°, γ = 61.70°
Space group P-1 (No. 2)
Symmetry-distinct sites (fractional):
K 0.2351 0.2287 0.2308
Fe 0.0000 0.0000 0.0000
Pb 0.5000 0.5000 0.5000
Cl 0.1437 0.3154 0.7840
Cl 0.2285 0.8509 0.6874
Cl 0.3105 0.7834 0.1515

Results
ΔE_f (raw) = -1.32 eV/atom

Compound: Pu2CoRe3
Source: Alexandria via LeMat-Bulk
Functional: PBE
Structure: optimized geometry

a = 9.0652 Å, b = 5.2082 Å, c = 5.4448 Å
α = 90.00°, β = 123.79°, γ = 90.00°
Space group C2/m (No. 12)
Symmetry-distinct sites (fractional):
Pu 0.1285 0.0000 0.3847
Co 0.0000 0.5000 0.5000
Re 0.0000 0.5000 0.0000
Re 0.2500 0.2500 0.0000

Results
energy = -12.15 eV/atom

Compound: BaAlGa2Os
Source: Alexandria via LeMat-Bulk
Functional: PBE
Structure: optimized geometry

a = 4.8945 Å, b = 4.8945 Å, c = 4.8505 Å
α = 90.00°, β = 90.00°, γ = 90.00°
Space group P4/mmm (No. 123)
Symmetry-distinct sites (fractional):
Ba 0.0000 0.0000 0.0000
Al 0.5000 0.5000 0.0000
Ga 0.0000 0.5000 0.5000
Os 0.5000 0.5000 0.5000

Results
energy = -4.98 eV/atom

Compound: SrLaNi2
Source: Alexandria via LeMat-Bulk
Functional: PBE
Structure: optimized geometry

a = 4.2240 Å, b = 4.0408 Å, c = 11.7654 Å
α = 90.00°, β = 90.00°, γ = 90.00°
Space group Amm2 (No. 38)
Symmetry-distinct sites (fractional):
Sr 0.0000 0.0000 0.0000
La 0.5000 0.0000 0.2691
Ni 0.0000 0.0000 0.7125
Ni 0.5000 0.0000 0.6038

Results
energy = -4.71 eV/atom

Compound: CsCd2InPb4
Source: Alexandria via LeMat-Bulk
Functional: PBE
Structure: optimized geometry

a = 5.3920 Å, b = 5.3920 Å, c = 33.0614 Å
α = 90.00°, β = 90.00°, γ = 120.00°
Space group R-3m (No. 166, hexagonal axes)
Symmetry-distinct sites (fractional):
Cs 0.0000 0.0000 0.0000
Cd 0.0000 0.0000 0.2476
In 0.0000 0.0000 0.5000
Pb 0.0000 0.0000 0.1322
Pb 0.0000 0.0000 0.4094

Results
energy = -2.54 eV/atom

Compound: Pm7Pr12Sm
Source: Alexandria via LeMat-Bulk
Functional: PBE
Structure: optimized geometry

a = 19.0297 Å, b = 19.0297 Å, c = 7.0013 Å
α = 90.00°, β = 90.00°, γ = 120.00°
Space group R-3 (No. 148, hexagonal axes)
Symmetry-distinct sites (fractional):
Pm 0.0000 0.0000 0.0000
Pm 0.0065 0.8512 0.2758
Pr 0.9998 0.2139 0.2111
Pr 0.0078 0.4701 0.2408
Sm 0.0000 0.0000 0.5000

Results
energy = -4.50 eV/atom

What did the second record say?
Compound: Ac3La2Ho2
Source: Alexandria via LeMat-Bulk
Functional: PBE
Structure: optimized geometry

a = 5.6980 Å, b = 25.3150 Å, c = 3.7516 Å
α = 90.00°, β = 90.00°, γ = 90.00°
Space group Cmmm (No. 65)
Symmetry-distinct sites (fractional):
Ac 0.0000 0.0000 0.0000
Ac 0.0000 0.1553 0.0000
La 0.0000 0.4261 0.5000
Ho 0.0000 0.2847 0.5000

Results
energy = -4.43 eV/atom